# VAs3F

A geometry-optimized VAs3F structure (PBE+U, Alexandria via LeMat-Bulk).

Results
raw total energy	-4.468	eV per atom
space group	No. 221
calculated density	4.81	Mg/m³
polymorph energy (0 for the lowest one)	0	meV/atom

abc: 4.6678 4.6678 4.6678
angles: 90.00 90.00 90.00
Fractional positions:
V 0.0000 0.0000 0.0000
As 0.0000 0.0000 0.5000
As 0.0000 0.5000 0.0000
As 0.5000 0.0000 0.0000
F 0.5000 0.5000 0.5000


# GaCo2SbO6

A geometry-optimized GaCo2SbO6 structure (PBE+U, Alexandria via LeMat-Bulk).

Results
raw total energy	-6.078	eV per atom
space group	No. 146
calculated density	6.19	Mg/m³

abc: 5.5012 5.5012 5.5012
angles: 56.67 56.67 56.67
Fractional positions:
Ga 0.0000 0.0000 0.0000
Co 0.2138 0.2138 0.2138
Co 0.7180 0.7180 0.7180
Sb 0.5065 0.5065 0.5065
O 0.1253 0.3937 0.7917
O 0.2925 0.8934 0.6240
O 0.3937 0.7917 0.1253
O 0.6240 0.2925 0.8934
O 0.7917 0.1253 0.3937
O 0.8934 0.6240 0.2925